Mn2CrMo: optimized geometry, PBE.

It has space group C2/m (No. 12), with a = 5.1077 Å, b = 8.1483 Å, c = 2.5781 Å, α = 90.00°, β = 109.06° and γ = 90.00°. The inequivalent atoms are Mn at (0.2500, 0.2500, 0.0000), Cr at (0.0000, 0.0000, 0.5000) and Mo at (0.0000, 0.5000, 0.5000).

The formation energy from the elements comes out at 52 kJ/mol of formula units. The excess energy over the best structure of this formula in the dataset comes out at 0.18 eV per formula unit. Its total energy is -9.565 eV per atom.


Mn2CrMo: optimized geometry, PBE.

It has space group R3m (No. 160, hexagonal axes), with a = 2.5922 Å, b = 2.5922 Å, c = 25.8821 Å, α = 90.00°, β = 90.00° and γ = 120.00°. The inequivalent atoms are Mn at (0.0000, 0.0000, 0.0000), Mn at (0.0000, 0.0000, 0.2597), Cr at (0.0000, 0.0000, 0.5143) and Mo at (0.0000, 0.0000, 0.7556).

The formation energy from the elements comes out at 126 kJ/mol of formula units. The excess energy over the best structure of this formula in the dataset comes out at 0.95 eV per formula unit. Its total energy is -9.372 eV per atom.